--- A ---
MgTlHg4: relaxed, PBE.

Results
- total magnetic moment (Bohr magnetons per cell) = 0.0
- space group = F-43m, No. 216
- DOS at the Fermi energy (states/eV/cell) = 2.48

abc: 6.106 6.106 6.106
angles: 60.00 60.00 60.00
Sites, in units of the cell vectors:
Hg1 0.875 0.375 0.375
Hg2 0.375 0.375 0.375
Hg3 0.375 0.375 0.875
Hg4 0.375 0.875 0.375
Tl1 0.000 0.000 0.000
Mg1 0.750 0.750 0.750

--- B ---
MgTlHg4: relaxed, PBE.

Results
- total magnetic moment (Bohr magnetons per cell) = 0.0
- space group = P4/mmm, No. 123
- DOS at the Fermi energy (states/eV/cell) = 1.37

abc: 3.701 3.701 11.189
angles: 90.00 90.00 90.00
Sites, in units of the cell vectors:
Tl1 0.000 0.000 0.000
Mg1 0.500 0.500 0.500
Hg1 0.000 0.000 0.357
Hg2 0.500 0.500 0.807
Hg3 0.500 0.500 0.193
Hg4 0.000 0.000 0.643

Tell me which of them is the most stable. Sure, it is B.

--- A ---
MgTl2Hg6: relaxed, PBE.

Results
- total magnetic moment (Bohr magnetons per cell) = 0.0
- space group = P-3m1, No. 164
- DOS at the Fermi energy (states/eV/cell) = 4.64

abc: 5.559 7.195 7.195
angles: 120.00 90.00 90.00
Sites, in units of the cell vectors:
Hg1 0.803 0.367 0.183
Hg2 0.197 0.183 0.817
Hg3 0.197 0.183 0.367
Hg4 0.197 0.633 0.817
Hg5 0.803 0.817 0.633
Hg6 0.803 0.817 0.183
Tl1 0.312 0.667 0.333
Tl2 0.688 0.333 0.667
Mg1 0.500 0.000 0.000

--- B ---
MgTl2Hg6: relaxed, PBE.

Results
- total magnetic moment (Bohr magnetons per cell) = 0.0
- space group = P-62m, No. 189
- DOS at the Fermi energy (states/eV/cell) = 2.62

abc: 3.579 8.819 8.819
angles: 120.00 90.00 90.00
Sites, in units of the cell vectors:
Hg1 0.500 0.271 0.271
Hg2 0.500 0.729 0.000
Hg3 0.500 0.000 0.729
Hg4 0.000 0.371 0.000
Hg5 0.000 0.629 0.629
Hg6 0.000 0.000 0.371
Tl1 0.500 0.333 0.667
Tl2 0.500 0.667 0.333
Mg1 0.000 0.000 0.000

Tell me which of them is the most stable. Sure, it is B.

--- A ---
Mg8TlHg2: relaxed, PBE.

Results
- total magnetic moment (Bohr magnetons per cell) = 0.0
- space group = C2/m, No. 12
- DOS at the Fermi energy (states/eV/cell) = 4.11

abc: 5.292 7.660 7.660
angles: 117.90 99.94 99.94
Sites, in units of the cell vectors:
Mg1 0.299 0.600 0.600
Mg2 0.123 0.322 0.091
Mg3 0.877 0.678 0.909
Mg4 0.123 0.091 0.322
Mg5 0.500 0.773 0.227
Mg6 0.701 0.400 0.400
Mg7 0.877 0.909 0.678
Mg8 0.500 0.227 0.773
Hg1 0.000 0.303 0.697
Hg2 0.000 0.697 0.303
Tl1 0.500 0.000 0.000

--- B ---
Mg8TlHg2: relaxed, PBE.

Results
- total magnetic moment (Bohr magnetons per cell) = 0.0
- space group = Immm, No. 71
- DOS at the Fermi energy (states/eV/cell) = 2.86

abc: 4.676 7.561 8.304
angles: 117.08 106.35 90.00
Sites, in units of the cell vectors:
Mg1 0.000 0.703 0.000
Mg2 0.844 0.844 0.687
Mg3 0.000 0.297 0.000
Mg4 0.660 0.882 0.320
Mg5 0.340 0.561 0.680
Mg6 0.156 0.156 0.313
Mg7 0.660 0.439 0.320
Mg8 0.340 0.118 0.680
Tl1 0.500 0.000 0.000
Hg1 0.185 0.685 0.370
Hg2 0.815 0.315 0.630

Tell me which of them is the most stable. Sure, it is B.

--- A ---
Mg2TlHg6: relaxed, PBE.

Results
- total magnetic moment (Bohr magnetons per cell) = 0.0
- space group = I4/mmm, No. 139
- DOS at the Fermi energy (states/eV/cell) = 2.83

abc: 4.604 4.604 12.276
angles: 100.81 100.81 90.00
Sites, in units of the cell vectors:
Hg1 0.097 0.597 0.195
Hg2 0.250 0.750 0.500
Hg3 0.903 0.403 0.805
Hg4 0.403 0.903 0.805
Hg5 0.750 0.250 0.500
Hg6 0.597 0.097 0.195
Mg1 0.326 0.326 0.652
Mg2 0.674 0.674 0.348
Tl1 0.000 0.000 0.000

--- B ---
Mg2TlHg6: relaxed, PBE.

Results
- total magnetic moment (Bohr magnetons per cell) = 0.0
- space group = C2/c, No. 15
- DOS at the Fermi energy (states/eV/cell) = 5.00

abc: 4.849 10.570 10.570
angles: 56.91 86.23 86.23
Sites, in units of the cell vectors:
Mg1 0.644 0.474 0.200
Mg2 0.144 0.200 0.474
Mg3 0.856 0.800 0.526
Mg4 0.356 0.526 0.800
Hg1 0.819 0.638 0.875
Hg2 0.400 0.673 0.463
Hg3 0.600 0.327 0.537
Hg4 0.100 0.537 0.327
Hg5 0.900 0.463 0.673
Hg6 0.181 0.362 0.125
Hg7 0.699 0.238 0.009
Hg8 0.681 0.125 0.362
Hg9 0.801 0.991 0.762
Hg10 0.199 0.009 0.238
Hg11 0.301 0.762 0.991
Hg12 0.319 0.875 0.638
Tl1 0.250 0.144 0.856
Tl2 0.750 0.856 0.144

Tell me which of them is the most stable. Sure, it is B.

--- A ---
MgZrTlHg: relaxed, PBE.

Results
- total magnetic moment (Bohr magnetons per cell) = 0.0
- space group = F-43m, No. 216
- DOS at the Fermi energy (states/eV/cell) = 2.94

abc: 5.030 5.030 5.030
angles: 60.00 60.00 60.00
Sites, in units of the cell vectors:
Zr1 0.250 0.250 0.250
Mg1 0.750 0.750 0.750
Hg1 0.500 0.500 0.500
Tl1 0.000 0.000 0.000

--- B ---
MgZrTlHg: relaxed, PBE.

Results
- total magnetic moment (Bohr magnetons per cell) = 0.0
- space group = Pmmm, No. 47
- DOS at the Fermi energy (states/eV/cell) = 2.30

abc: 4.218 4.497 4.642
angles: 90.00 90.00 90.00
Sites, in units of the cell vectors:
Tl1 0.000 0.000 0.000
Hg1 0.000 0.500 0.500
Mg1 0.500 0.000 0.500
Zr1 0.500 0.500 0.000

Tell me which of them is the most stable. Sure, it is B.

--- A ---
Tm3MgHg2: relaxed, PBE.

Results
- total magnetic moment (Bohr magnetons per cell) = 0.0
- space group = Cmmm, No. 65
- DOS at the Fermi energy (states/eV/cell) = 4.82

abc: 3.696 5.164 8.286
angles: 108.16 90.00 90.00
Sites, in units of the cell vectors:
Hg1 0.000 0.655 0.310
Hg2 0.000 0.345 0.690
Tm1 0.500 0.829 0.657
Tm2 0.500 0.500 0.000
Tm3 0.500 0.171 0.343
Mg1 0.000 0.000 0.000

--- B ---
Tm3MgHg2: relaxed, PBE.

Results
- total magnetic moment (Bohr magnetons per cell) = 0.0
- space group = P4/mmm, No. 123
- DOS at the Fermi energy (states/eV/cell) = 4.98

abc: 3.719 3.719 10.942
angles: 90.00 90.00 90.00
Sites, in units of the cell vectors:
Tm1 0.000 0.000 0.672
Tm2 0.000 0.000 0.000
Tm3 0.000 0.000 0.328
Hg1 0.500 0.500 0.172
Hg2 0.500 0.500 0.828
Mg1 0.500 0.500 0.500

Tell me which of them is the most stable. Sure, it is A.

--- A ---
Tm3MgHg: relaxed, PBE.

Results
- total magnetic moment (Bohr magnetons per cell) = 0.0
- space group = C2/c, No. 15
- DOS at the Fermi energy (states/eV/cell) = 22.03

abc: 6.703 6.703 14.762
angles: 84.32 84.32 56.97
Sites, in units of the cell vectors:
Tm1 0.041 0.832 0.610
Tm2 0.959 0.168 0.390
Tm3 0.024 0.640 0.295
Tm4 0.867 0.523 0.103
Tm5 0.133 0.477 0.897
Tm6 0.360 0.976 0.205
Tm7 0.640 0.024 0.795
Tm8 0.523 0.867 0.603
Tm9 0.168 0.959 0.890
Tm10 0.832 0.041 0.110
Tm11 0.477 0.133 0.397
Tm12 0.976 0.360 0.705
Hg1 0.500 0.000 0.000
Hg2 0.419 0.581 0.750
Hg3 0.000 0.500 0.500
Hg4 0.581 0.419 0.250
Mg1 0.332 0.560 0.084
Mg2 0.440 0.668 0.416
Mg3 0.668 0.440 0.916
Mg4 0.560 0.332 0.584

--- B ---
Tm3MgHg: relaxed, PBE.

Results
- total magnetic moment (Bohr magnetons per cell) = 0.0
- space group = Cmcm, No. 63
- DOS at the Fermi energy (states/eV/cell) = 10.60

abc: 5.065 5.061 10.626
angles: 90.00 76.21 90.00
Sites, in units of the cell vectors:
Hg1 0.664 0.750 0.320
Hg2 0.984 0.250 0.680
Tm1 0.763 0.250 0.122
Tm2 0.380 0.250 0.888
Tm3 0.885 0.750 0.878
Tm4 0.573 0.250 0.502
Tm5 0.268 0.750 0.112
Tm6 0.075 0.750 0.498
Mg1 0.171 0.250 0.307
Mg2 0.478 0.750 0.693

Tell me which of them is the most stable. Sure, it is B.

--- A ---
TmMg2Hg: relaxed, PBE.

Results
- total magnetic moment (Bohr magnetons per cell) = 0.0
- space group = Pmmn, No. 59
- DOS at the Fermi energy (states/eV/cell) = 4.84

abc: 4.768 6.058 6.557
angles: 90.00 90.00 90.00
Sites, in units of the cell vectors:
Mg1 0.500 0.248 0.133
Mg2 0.000 0.252 0.867
Mg3 0.000 0.748 0.867
Mg4 0.500 0.752 0.133
Hg1 0.000 0.500 0.278
Hg2 0.500 0.000 0.722
Tm1 0.000 0.000 0.415
Tm2 0.500 0.500 0.585

--- B ---
TmMg2Hg: relaxed, PBE.

Results
- total magnetic moment (Bohr magnetons per cell) = 0.0
- space group = R3m, No. 160
- DOS at the Fermi energy (states/eV/cell) = 2.21

abc: 3.437 3.437 10.020
angles: 80.12 80.12 60.00
Sites, in units of the cell vectors:
Mg1 0.075 0.075 0.774
Mg2 0.258 0.258 0.225
Hg1 0.667 0.667 0.000
Tm1 0.500 0.500 0.500

--- C ---
TmMg2Hg: relaxed, PBE.

Results
- total magnetic moment (Bohr magnetons per cell) = 0.0
- space group = Fm-3m, No. 225
- DOS at the Fermi energy (states/eV/cell) = 2.37

abc: 5.033 5.033 5.033
angles: 60.00 60.00 60.00
Sites, in units of the cell vectors:
Mg1 0.750 0.750 0.750
Mg2 0.250 0.250 0.250
Hg1 0.500 0.500 0.500
Tm1 0.000 0.000 0.000

--- D ---
TmMg2Hg: relaxed, PBE.

Results
- total magnetic moment (Bohr magnetons per cell) = 0.0
- space group = R-3m, No. 166
- DOS at the Fermi energy (states/eV/cell) = 2.34

abc: 3.258 3.258 11.337
angles: 81.74 81.74 60.00
Sites, in units of the cell vectors:
Mg1 0.905 0.905 0.286
Mg2 0.095 0.095 0.714
Tm1 0.000 0.000 0.000
Hg1 0.500 0.500 0.500

Tell me which of them is the most stable. Sure, it is A.